[1]
DFT (PBE) results for a relaxed Ca4TlH crystal.

total energy	-2.5629	eV per atom
space-group type	Pmn2_1, No. 31

Unit cell a=5.2498 b=7.1711 c=9.4705 alpha=90.00 beta=90.00 gamma=90.00
Sites, in units of the cell vectors:
Ca 0.3951 0.7408 0.0000
Ca 0.8947 0.4276 0.0000
Ca 0.3951 0.1944 0.8050
Ca 0.8951 0.8056 0.6950
Ca 0.3947 0.5724 0.5000
Ca 0.8951 0.2592 0.5000
Ca 0.8951 0.8056 0.3050
Ca 0.3951 0.1944 0.1950
Tl 0.8951 0.9981 0.0000
Tl 0.3951 0.0019 0.5000
H 0.3968 0.4061 0.0000
H 0.8968 0.5939 0.5000

***

[2]
DFT (PBE) results for a relaxed NbSnSb3 crystal.

total energy	-4.8940	eV per atom
energy relative to the elements, uncorrected	1.97	eV per formula unit
space-group type	Pm-3m, No. 221

Unit cell a=5.3884 b=5.3884 c=5.3884 alpha=90.00 beta=90.00 gamma=90.00
Sites, in units of the cell vectors:
Sb 0.0000 0.5000 0.0000
Sb 0.0000 0.0000 0.5000
Sb 0.5000 0.0000 0.0000
Nb 0.0000 0.0000 0.0000
Sn 0.5000 0.5000 0.5000

***

[3]
DFT (PBE) results for a relaxed SrCd4Bi crystal.

total energy	-1.7242	eV per atom
formation enthalpy at 0 K	-0.1870	eV/atom
space-group type	F-43m, No. 216

Unit cell a=6.1409 b=6.1409 c=6.1409 alpha=60.00 beta=60.00 gamma=60.00
Sites, in units of the cell vectors:
Sr 0.2500 0.2500 0.2500
Bi 0.0000 0.0000 0.0000
Cd 0.6257 0.6257 0.1230
Cd 0.6257 0.1230 0.6257
Cd 0.6257 0.6257 0.6257
Cd 0.1230 0.6257 0.6257

***

[4]
DFT (PBE) results for a relaxed BeWBr crystal.

total energy	-4.9928	eV per atom
energy relative to the elements, uncorrected	3.37	eV per formula unit
space-group type	P-6m2, No. 187

Unit cell a=4.4120 b=4.4120 c=2.8220 alpha=90.00 beta=90.00 gamma=120.00
Sites, in units of the cell vectors:
Be 0.0000 0.0000 0.9998
Br 0.6667 0.3333 0.5001
W 0.3333 0.6667 0.5001

***

[5]
DFT (PBE) results for a relaxed La2TbSi3Pt12 crystal.

total energy	-6.3203	eV per atom
energy relative to the elements, uncorrected	-10.52	eV per formula unit
space-group type	R-3m, No. 166

Unit cell a=7.7663 b=7.7663 c=7.7663 alpha=65.05 beta=65.05 gamma=65.05
Sites, in units of the cell vectors:
La 0.6011 0.6011 0.6011
La 0.3989 0.3989 0.3989
Tb 0.0000 0.0000 0.0000
Si 0.5000 0.0000 0.0000
Si 0.0000 0.5000 0.0000
Si 0.0000 0.0000 0.5000
Pt 0.3485 0.3485 0.9007
Pt 0.8559 0.8559 0.4008
Pt 0.4008 0.8559 0.8559
Pt 0.9007 0.3485 0.3485
Pt 0.8559 0.4008 0.8559
Pt 0.3485 0.9007 0.3485
Pt 0.6515 0.6515 0.0993
Pt 0.1441 0.1441 0.5992
Pt 0.5992 0.1441 0.1441
Pt 0.0993 0.6515 0.6515
Pt 0.1441 0.5992 0.1441
Pt 0.6515 0.0993 0.6515

***

[6]
DFT (PBE) results for a relaxed PuCuBi2 crystal.

total energy	-6.4883	eV per atom
formation enthalpy at 0 K	0.0592	eV/atom
space-group type	R-3m, No. 166

Unit cell a=4.8448 b=4.8448 c=5.8595 alpha=65.58 beta=65.58 gamma=60.00
Sites, in units of the cell vectors:
Bi 0.2691 0.2691 0.1926
Bi 0.7309 0.7309 0.8074
Cu 0.0000 0.0000 0.0000
Pu 0.5000 0.5000 0.5000

***

[7]
DFT (PBE) results for a relaxed Al2HgP crystal.

total energy	-3.2303	eV per atom
formation enthalpy at 0 K	0.0689	eV/atom
space-group type	P2/m, No. 10

Unit cell a=3.7732 b=6.6154 c=5.4198 alpha=34.24 beta=90.00 gamma=90.00
Sites, in units of the cell vectors:
P 0.0000 0.0000 0.5000
Hg 0.5000 0.5000 0.5000
Al 0.0000 0.0000 0.0000
Al 0.5000 0.5000 0.0000

***

[8]
DFT (PBE) results for a relaxed TaTiAlO6 crystal.

total energy	-8.8439	eV per atom
energy relative to the elements, uncorrected	-26.36	eV per formula unit
space-group type	P4_2nm, No. 102

Unit cell a=4.6244 b=4.6244 c=8.9308 alpha=90.00 beta=90.00 gamma=90.00
Sites, in units of the cell vectors:
Ta 0.5000 0.5000 0.8332
Ta 0.0000 0.0000 0.3332
Ti 0.5000 0.5000 0.4980
Ti 0.0000 0.0000 0.9980
Al 0.5000 0.5000 0.1672
Al 0.0000 0.0000 0.6672
O 0.2006 0.7994 0.1662
O 0.1951 0.8049 0.5050
O 0.1916 0.8084 0.8296
O 0.7994 0.2006 0.1662
O 0.8049 0.1951 0.5050
O 0.8084 0.1916 0.8296
O 0.3084 0.3084 0.3296
O 0.2994 0.2994 0.6662
O 0.3049 0.3049 0.0050
O 0.6916 0.6916 0.3296
O 0.7006 0.7006 0.6662
O 0.6951 0.6951 0.0050

***

[9]
DFT (PBE) results for a relaxed SnSb2Rh2 crystal.

total energy	-5.5623	eV per atom
energy relative to the elements, uncorrected	-0.86	eV per formula unit
space-group type	P4/mbm, No. 127

Unit cell a=7.9167 b=7.9167 c=3.2075 alpha=90.00 beta=90.00 gamma=90.00
Sites, in units of the cell vectors:
Sb 0.1517 0.6517 0.5000
Sb 0.6517 0.8483 0.5000
Sb 0.8483 0.3483 0.5000
Sb 0.3483 0.1517 0.5000
Rh 0.3646 0.8646 0.0000
Rh 0.8646 0.6354 0.0000
Rh 0.6354 0.1354 0.0000
Rh 0.1354 0.3646 0.0000
Sn 0.0000 0.0000 0.0000
Sn 0.5000 0.5000 0.0000